VASP calculation (PBE-GGA) on a geometry-optimized Sr6As2SBr3 structure.

abc: 7.783 13.481 7.854
angles: 90.00 109.26 90.00
Space group C2/m (No. 12)
Symmetry-distinct sites (fractional):
Sr: 0.238 0.166 0.216 (multiplicity 8)
Sr: 0.240 0.500 0.215 (multiplicity 4)
As: 0.000 0.333 0.000 (multiplicity 4)
S: 0.000 0.000 0.000 (multiplicity 2)
Br: 0.000 0.165 0.500 (multiplicity 4)
Br: 0.000 0.500 0.500 (multiplicity 2)

Output
As for the total DFT energy (no corrections): -4.037 eV per atom. The formation energy from raw total energies comes out at -1.66 eV/atom. As for the volume: 32.4 Å³ per atom.

VASP calculation (PBE-GGA) on a geometry-optimized SiAgSe2 structure.

abc: 7.671 7.673 2.793
angles: 90.00 90.89 90.00
Space group C2/m (No. 12)
Symmetry-distinct sites (fractional):
Si: 0.000 0.000 0.000 (multiplicity 2)
Ag: 0.000 0.500 0.000 (multiplicity 2)
Se: 0.250 0.250 0.000 (multiplicity 4)

Output
As for the total DFT energy (no corrections): -3.708 eV per atom. The formation energy from raw total energies comes out at 0.10 eV/atom. As for the volume: 20.5 Å³ per atom.

VASP calculation (PBE-GGA) on a geometry-optimized CdGeO3 structure.

abc: 3.746 3.746 3.746
angles: 90.00 90.00 90.00
Space group Pm-3m (No. 221)
Symmetry-distinct sites (fractional):
Cd: 0.000 0.000 0.000 (multiplicity 1)
Ge: 0.500 0.500 0.500 (multiplicity 1)
O: 0.000 0.500 0.500 (multiplicity 3)

Output
As for the total DFT energy (no corrections): -5.221 eV per atom. The formation energy from raw total energies comes out at -1.14 eV/atom. As for the volume: 10.5 Å³ per atom.

VASP calculation (PBE-GGA) on a geometry-optimized PmPrZnOs structure.

abc: 7.185 7.185 7.185
angles: 90.00 90.00 90.00
Space group F-43m (No. 216)
Symmetry-distinct sites (fractional):
Pm: 0.000 0.000 0.000 (multiplicity 4)
Pr: 0.000 0.000 0.500 (multiplicity 4)
Zn: 0.250 0.250 0.750 (multiplicity 4)
Os: 0.250 0.250 0.250 (multiplicity 4)

Output
As for the total DFT energy (no corrections): -5.610 eV per atom. The value obtained for the formation enthalpy at 0 K is -0.101 eV/atom. As for the volume: 23.2 Å³ per atom.

Please write out number 3 again, unchanged.
VASP calculation (PBE-GGA) on a geometry-optimized CdGeO3 structure.

abc: 3.746 3.746 3.746
angles: 90.00 90.00 90.00
Space group Pm-3m (No. 221)
Symmetry-distinct sites (fractional):
Cd: 0.000 0.000 0.000 (multiplicity 1)
Ge: 0.500 0.500 0.500 (multiplicity 1)
O: 0.000 0.500 0.500 (multiplicity 3)

Output
As for the total DFT energy (no corrections): -5.221 eV per atom. The formation energy from raw total energies comes out at -1.14 eV/atom. As for the volume: 10.5 Å³ per atom.

Number 3 is which compound? CdGeO3

The highest volume belongs to which entry? Sr6As2SBr3

Which value of total DFT energy (no corrections) does entry 2 give? -3.708 eV per atom